This record from Alexandria via LeMat-Bulk describes a relaxed structure of Ho2MnCo2. The functional is PBE.

Calculated values
E_form	-167	meV/atom
SG	C2/c, No. 15

a = 5.372 Å, b = 5.372 Å, c = 7.423 Å
α = 101.82°, β = 101.82°, γ = 59.67°
Element x y z (fractional)
Ho 0.011 0.284 0.147
Ho 0.284 0.011 0.647
Ho 0.716 0.989 0.353
Ho 0.989 0.716 0.853
Mn 0.381 0.619 0.250
Mn 0.619 0.381 0.750
Co 0.224 0.502 0.497
Co 0.498 0.776 0.003
Co 0.502 0.224 0.997
Co 0.776 0.498 0.503